(1)
# CsGdTeO

A relaxed CsGdTeO crystal (PBE-GGA, OQMD via LeMat-Bulk).

Space-group type = P2_1/c, No. 14
Relative energy among the computed polymorphs = 0.0000 eV per atom

```
CsGdTeO
1.0
-4.583 -0.510 8.730
-4.364 -5.572 -2.617
5.073 -4.442 0.998
Te Gd O Cs
4 4 4 4
direct
0.267 0.076 0.869 Te
0.267 0.424 0.369 Te
0.733 0.924 0.131 Te
0.733 0.576 0.631 Te
0.493 0.363 0.793 Gd
0.507 0.637 0.207 Gd
0.493 0.137 0.293 Gd
0.507 0.863 0.707 Gd
0.433 0.640 0.883 O
0.433 0.860 0.383 O
0.567 0.360 0.117 O
0.567 0.140 0.617 O
0.868 0.079 0.677 Cs
0.132 0.579 0.823 Cs
0.868 0.421 0.177 Cs
0.132 0.921 0.323 Cs
```


(2)
# CsGdTe2O8

A relaxed CsGdTe2O8 crystal (PBE-GGA, OQMD via LeMat-Bulk).

Electronic total energy = -0.430 Ry per atom
Space-group type = P-3m1, No. 164

```
CsGdTe2O8
1.0
-0.477 1.105 -5.878
-4.736 -2.049 3.061
-2.208 7.470 1.584
O Cs Te Gd
8 1 2 1
direct
0.662 0.831 0.825 O
0.831 0.662 0.175 O
0.831 0.169 0.175 O
0.169 0.338 0.825 O
0.667 0.333 0.488 O
0.338 0.169 0.175 O
0.169 0.831 0.825 O
0.333 0.667 0.512 O
0.000 0.000 0.500 Cs
0.333 0.667 0.741 Te
0.667 0.333 0.259 Te
0.000 0.000 0.000 Gd
```


(3)
# CsGdZnO3

A relaxed CsGdZnO3 crystal (PBE-GGA, OQMD via LeMat-Bulk).

Electronic total energy = -0.428 Ry per atom
Space-group type = Cmcm, No. 63

```
CsGdZnO3
1.0
6.609 -1.796 0.000
6.609 1.796 0.000
0.000 0.000 9.215
Gd O Zn Cs
2 6 2 2
direct
0.000 0.000 0.000 Gd
0.000 0.000 0.500 Gd
0.394 0.394 0.056 O
0.967 0.967 0.750 O
0.033 0.033 0.250 O
0.606 0.606 0.556 O
0.606 0.606 0.944 O
0.394 0.394 0.444 O
0.448 0.448 0.250 Zn
0.552 0.552 0.750 Zn
0.727 0.727 0.250 Cs
0.273 0.273 0.750 Cs
```


(4)
# CsGdOs

A relaxed CsGdOs crystal (PBE-GGA, OQMD via LeMat-Bulk).

Space-group type = F-43m, No. 216
Relative energy among the computed polymorphs = 0.8765 eV per atom

```
CsGdOs
1.0
-2.256 4.316 -0.385
1.250 3.682 2.958
2.402 3.861 -1.787
Gd Cs Os
1 1 1
direct
0.750 0.750 0.750 Gd
0.000 0.000 0.000 Cs
0.250 0.250 0.250 Os
```


no.,magnetic moment (μB/cell)
1,0.00
2,0.01
3,0.01
4,0.04